VASP calculation (PBE) on a geometry-optimized ErMgAgTeSe2 structure.

Calculated values
**Spin magnetization**: 0.00 μB per formula unit
**E**: -4.154 eV per atom

Unit cell a=7.0854 b=7.0854 c=11.0640 alpha=90.00 beta=90.00 gamma=147.62
Fractional positions:
Er  0.0000  0.0000  0.0000
Se  0.3586  0.6414  0.4313
Er  0.0000  0.0000  0.5000
Ag  0.4817  0.5183  0.2500
Mg  0.7960  0.2040  0.2500
Te  0.1263  0.8737  0.2500
Mg  0.2040  0.7960  0.7500
Se  0.6414  0.3586  0.9313
Se  0.6414  0.3586  0.5687
Ag  0.5183  0.4817  0.7500
Se  0.3586  0.6414  0.0687
Te  0.8737  0.1263  0.7500